VASP calculation (GGA-PBE) on a geometry-optimized TaBe2Hg structure.

Computed properties:
- formation energy from the elements (eV per atom) = 0.50
- magnetization (μB per atom) = 0.000

Lattice parameters (Å, degrees): 7.537 2.883 5.448 90.00 98.27 90.00
Space group C2/m (No. 12)
Asymmetric unit:
1 Ta 0.000 0.000 0.000 x2
2 Be 0.248 0.000 0.741 x4
3 Hg 0.000 0.500 0.500 x2